Here is a relaxed Fe2NiBr crystal from Alexandria via LeMat-Bulk. Energies are from GGA-PBEsol.

Output
The raw formation energy is 15.34 kcal/mol of atoms. As for the symmetry: Cmmm, No. 65. For the density of states at the Fermi level, the calculation gives 1.237 states/eV per atom. As for the magnetic moment: 6.02 μB per formula unit. The volume is 52.7 Å³/cell. As for the final energy: -5.82 eV/atom.

Cell: 4.4506 4.4506 2.8604 Å, 90.00 90.00 111.64°
Fractional positions:
1 Fe 0.0000 0.5000 0.0000
2 Fe 0.5000 0.0000 0.0000
3 Ni 0.0000 0.0000 0.5000
4 Br 0.5000 0.5000 0.5000